Ba2ReSb: relaxed, PBE-GGA.

The space group is Amm2 (No. 38) and the conventional cell measures 4.6245, 5.0940 and 12.1057 Å, with angles of 90.00, 90.00 and 90.00 degrees. Symmetry generates all atoms from Ba at (0.0000, 0.0000, 0.0000), Ba at (0.5000, 0.0000, 0.2842), Re at (0.0000, 0.0000, 0.6926) and Sb at (0.5000, 0.0000, 0.5878).

Its calculated volume is 142.6 Å³/f.u. The formation energy from raw total energies is 0.208 eV per atom. Its total moment is 0.00 μB per atom.

AcPa2Re: relaxed, PBE-GGA.

The space group is P4/mmm (No. 123) and the conventional cell measures 3.5123, 3.5123 and 8.5429 Å, with angles of 90.00, 90.00 and 90.00 degrees. Symmetry generates all atoms from Ac at (0.0000, 0.0000, 0.0000), Pa at (0.5000, 0.5000, 0.3089) and Re at (0.0000, 0.0000, 0.5000).

Its calculated volume is 105.4 Å³/f.u. Its total moment is 0.00 μB per atom. The value obtained for the formation energy is 81 kJ/mol of formula units.

Pm2Er8Sc3: relaxed, PBE-GGA.

The space group is P-1 (No. 2) and the conventional cell measures 6.0159, 6.0308 and 10.9599 Å, with angles of 90.03, 100.47 and 99.55 degrees. Symmetry generates all atoms from Pm at (0.1159, 0.2694, 0.4609), Er at (0.0406, 0.4180, 0.1472), Er at (0.1930, 0.1211, 0.7795), Er at (0.3464, 0.8075, 0.3781), Er at (0.4242, 0.6596, 0.7008), Sc at (0.2730, 0.9612, 0.0731) and Sc at (0.5000, 0.5000, 0.0000).

Its calculated volume is 385.4 Å³/f.u. Its total moment is 0.00 μB per atom. The value obtained for the formation energy is 57 kJ/mol of formula units.

ZnCrRe2: relaxed, PBE-GGA.

The space group is Cmmm (No. 65) and the conventional cell measures 2.9858, 4.3607 and 8.7104 Å, with angles of 90.00, 90.00 and 90.00 degrees. Symmetry generates all atoms from Zn at (0.0000, 0.0000, 0.0000), Cr at (0.0000, 0.0000, 0.5000) and Re at (0.0000, 0.5000, 0.2630).

Its calculated volume is 56.7 Å³/f.u. Its total moment is 0.00 μB per atom. The value obtained for the formation energy is 67 kJ/mol of formula units.

Cu3Te4: relaxed, PBE-GGA.

The space group is P-43m (No. 215) and the conventional cell measures 5.6297, 5.6297 and 5.6297 Å, with angles of 90.00, 90.00 and 90.00 degrees. Symmetry generates all atoms from Cu at (0.0000, 0.0000, 0.5000) and Te at (0.2833, 0.2833, 0.2833).

Its calculated volume is 178.4 Å³/f.u. The formation energy from raw total energies is 0.075 eV per atom. Its total moment is 0.00 μB per atom.

Tb3YPu2S6: relaxed, PBE-GGA.

The space group is C2/m (No. 12) and the conventional cell measures 6.8013, 11.7856 and 6.8350 Å, with angles of 90.00, 109.34 and 90.00 degrees. Symmetry generates all atoms from Tb at (0.0000, 0.0000, 0.0000), Tb at (0.0000, 0.3331, 0.0000), Y at (0.0000, 0.5000, 0.5000), Pu at (0.0000, 0.1666, 0.5000), S at (0.2485, 0.5000, 0.2481) and S at (0.2502, 0.1663, 0.2494).

Its calculated volume is 258.5 Å³/f.u. The formation energy from raw total energies is -1.952 eV per atom. Its total moment is 0.95 μB per atom.

TaS2ClF: relaxed, PBE-GGA.

The space group is P4/mmm (No. 123) and the conventional cell measures 4.7262, 4.7262 and 4.8561 Å, with angles of 90.00, 90.00 and 90.00 degrees. Symmetry generates all atoms from Ta at (0.0000, 0.0000, 0.0000), S at (0.0000, 0.5000, 0.0000), Cl at (0.0000, 0.0000, 0.5000) and F at (0.5000, 0.5000, 0.5000).

Its calculated volume is 108.5 Å³/f.u. The formation energy from raw total energies is -0.550 eV per atom. Its total moment is 0.12 μB per atom.

KNd2AgSe4: relaxed, PBE-GGA.

The space group is Cmcm (No. 63) and the conventional cell measures 4.3049, 14.3861 and 15.0648 Å, with angles of 90.00, 90.00 and 90.00 degrees. Symmetry generates all atoms from K at (0.0000, 0.1188, 0.2500), Nd at (0.0000, 0.3677, 0.0671), Ag at (0.0000, 0.1581, 0.7500), Se at (0.0000, 0.0000, 0.0000), Se at (0.0000, 0.2671, 0.6074) and Se at (0.0000, 0.4484, 0.2500).

Its calculated volume is 233.2 Å³/f.u. The formation energy from raw total energies is -1.491 eV per atom. Its total moment is 0.00 μB per atom.

Tb7Dy4Sc: relaxed, PBE-GGA.

The space group is C2/m (No. 12) and the conventional cell measures 16.0960, 5.8220 and 9.2127 Å, with angles of 90.00, 117.31 and 90.00 degrees. Symmetry generates all atoms from Tb at (0.0000, 0.0000, 0.0000), Tb at (0.0717, 0.5000, 0.7106), Tb at (0.1699, 0.5000, 0.3762), Tb at (0.2140, 0.0000, 0.8801), Dy at (0.0838, 0.0000, 0.4463), Dy at (0.2140, 0.0000, 0.2368) and Sc at (0.0000, 0.5000, 0.0000).

Its calculated volume is 383.6 Å³/f.u. Its total moment is 0.06 μB per atom. The value obtained for the formation energy is 274 kJ/mol of formula units.

TaNiSb2: relaxed, PBE-GGA.

The space group is F-43m (No. 216) and the conventional cell measures 6.8106, 6.8106 and 6.8106 Å, with angles of 90.00, 90.00 and 90.00 degrees. Symmetry generates all atoms from Ta at (0.0000, 0.0000, 0.0000), Ni at (0.2500, 0.2500, 0.7500), Sb at (0.0000, 0.0000, 0.5000) and Sb at (0.2500, 0.2500, 0.2500).

Its calculated volume is 79.0 Å³/f.u. The formation energy from raw total energies is 0.584 eV per atom. Its total moment is 0.00 μB per atom.

TaZnNF2: relaxed, PBE-GGA.

The space group is P4/mmm (No. 123) and the conventional cell measures 4.2034, 4.2034 and 4.0062 Å, with angles of 90.00, 90.00 and 90.00 degrees. Symmetry generates all atoms from Ta at (0.0000, 0.0000, 0.0000), Zn at (0.5000, 0.5000, 0.5000), N at (0.0000, 0.0000, 0.5000) and F at (0.0000, 0.5000, 0.0000).

Its calculated volume is 70.8 Å³/f.u. The formation energy from raw total energies is -1.180 eV per atom. Its total moment is 0.00 μB per atom.

CePu2Pt2Au: relaxed, PBE-GGA.

The space group is P-3m1 (No. 164) and the conventional cell measures 5.0306, 5.0306 and 6.2153 Å, with angles of 90.00, 90.00 and 120.00 degrees. Symmetry generates all atoms from Ce at (0.0000, 0.0000, 0.0000), Pu at (0.3333, 0.6667, 0.6943), Pt at (0.3333, 0.6667, 0.1977) and Au at (0.0000, 0.0000, 0.5000).

Its calculated volume is 136.2 Å³/f.u. Its total moment is 2.04 μB per atom. The value obtained for the formation energy is -410 kJ/mol of formula units.